Record 1
Density functional theory data (GGA-PBE) for BaAc4Ga4 after structural relaxation.

abc: 10.168 10.168 6.447
angles: 90.00 90.00 90.00
Space group P4_2/n (No. 86, origin choice 2)
Unique sites:
Ba 0.250 0.250 0.250 [2 per cell]
Ac 0.080 0.657 0.120 [8 per cell]
Ga 0.026 0.600 0.617 [8 per cell]

Record 2
Density functional theory data (GGA-PBE) for BaAcGa2 after structural relaxation.

abc: 4.1505 4.1505 29.0361
angles: 90.00 90.00 120.00
Space group R-3m (No. 166, hexagonal axes)
Unique sites:
Ba 0.0000 0.0000 0.0000 [3 per cell]
Ac 0.0000 0.0000 0.5000 [3 per cell]
Ga 0.0000 0.0000 0.2463 [6 per cell]

Record 3
Density functional theory data (GGA-PBE) for BaAcGa4 after structural relaxation.

## Properties
Energy above the lowest structure with this stoichiometry, meV/atom: 128

abc: 8.390 8.390 8.390
angles: 90.00 90.00 90.00
Space group F-43m (No. 216)
Unique sites:
Ba 0.000 0.000 0.000 [4 per cell]
Ac 0.250 0.250 0.750 [4 per cell]
Ga 0.125 0.125 0.375 [16 per cell]

Record 4
Density functional theory data (GGA-PBE) for BaAcGa3 after structural relaxation.

## Properties
Energy above the lowest structure with this stoichiometry, meV/atom: 0

abc: 4.702 29.147 4.437
angles: 90.00 90.00 90.00
Space group Cmcm (No. 63)
Unique sites:
Ba 0.000 0.198 0.250 [4 per cell]
Ac 0.000 0.065 0.750 [4 per cell]
Ga 0.000 0.345 0.250 [4 per cell]
Ga 0.000 0.391 0.750 [4 per cell]
Ga 0.000 0.478 0.750 [4 per cell]

Record 5
Density functional theory data (GGA-PBE) for BaAcGaGe after structural relaxation.

## Properties
Energy above the lowest structure with this stoichiometry, meV/atom: 164

abc: 7.969 7.969 7.969
angles: 90.00 90.00 90.00
Space group F-43m (No. 216)
Unique sites:
Ba 0.000 0.000 0.000 [4 per cell]
Ac 0.000 0.000 0.500 [4 per cell]
Ga 0.250 0.250 0.250 [4 per cell]
Ge 0.250 0.250 0.750 [4 per cell]

Record 6
Density functional theory data (GGA-PBE) for BaAcGaGe after structural relaxation.

## Properties
Energy above the lowest structure with this stoichiometry, meV/atom: 0

abc: 4.359 4.878 12.233
angles: 90.00 90.00 90.00
Space group Amm2 (No. 38)
Unique sites:
Ba 0.000 0.000 0.000 [2 per cell]
Ac 0.500 0.000 0.276 [2 per cell]
Ga 0.000 0.000 0.712 [2 per cell]
Ge 0.500 0.000 0.583 [2 per cell]

Record 7
Density functional theory data (GGA-PBE) for BaAcGaHg after structural relaxation.

abc: 8.136 8.136 8.136
angles: 90.00 90.00 90.00
Space group F-43m (No. 216)
Unique sites:
Ba 0.000 0.000 0.000 [4 per cell]
Ac 0.000 0.000 0.500 [4 per cell]
Ga 0.250 0.250 0.750 [4 per cell]
Hg 0.250 0.250 0.250 [4 per cell]

Record 8
Density functional theory data (GGA-PBE) for BaAcInGa after structural relaxation.

abc: 8.217 8.217 8.217
angles: 90.00 90.00 90.00
Space group F-43m (No. 216)
Unique sites:
Ba 0.000 0.000 0.000 [4 per cell]
Ac 0.000 0.000 0.500 [4 per cell]
In 0.250 0.250 0.250 [4 per cell]
Ga 0.250 0.250 0.750 [4 per cell]

no.,E_form (kcal/mol of atoms)
1,-6.703
2,-3.743
3,-9.355
4,-12.201
5,-8.771
6,-12.560
7,-9.327
8,-7.530